[1]
Density functional theory data (PBE) for Tb4MgAu after structural relaxation.

V: 35.05 Å³/atom
energy of formation from the pure elements: 0.181 eV/atom
E_tot: -3.717 eV/atom

Cell lengths 8.187, 8.187, 8.187 Å; angles 111.73, 111.73, 105.04 degrees
Element x y z (fractional)
Mg 0.996 0.496 0.500
Tb 0.732 0.040 0.308
Tb 0.790 0.982 0.808
Tb 0.700 0.519 0.181
Mg 0.246 0.246 0.000
Au 0.502 0.002 0.500
Au 0.752 0.752 0.000
Tb 0.732 0.424 0.692
Tb 0.338 0.519 0.819
Tb 0.269 0.950 0.681
Tb 0.269 0.588 0.319
Tb 0.174 0.982 0.192

[2]
Density functional theory data (PBE) for BaCoOs2 after structural relaxation.

V: 18.88 Å³/atom
energy of formation from the pure elements: 1.514 eV/atom
E_tot: -6.358 eV/atom

Cell lengths 5.643, 5.643, 2.910 Å; angles 90.00, 90.00, 125.42 degrees
Element x y z (fractional)
Ba 0.500 0.000 0.500
Os 0.000 0.000 0.000
Os 0.500 0.500 0.000
Co 0.000 0.500 0.500

[3]
Density functional theory data (PBE) for TbEr5Ni2 after structural relaxation.

V: 26.41 Å³/atom
energy of formation from the pure elements: -0.131 eV/atom
E_tot: -5.007 eV/atom

Cell lengths 4.413, 7.849, 7.849 Å; angles 55.02, 73.67, 73.67 degrees
Element x y z (fractional)
Er 0.651 0.584 0.113
Er 0.349 0.887 0.416
Ni 0.202 0.298 0.298
Er 0.651 0.113 0.584
Ni 0.798 0.702 0.702
Er 0.000 0.500 0.500
Er 0.349 0.416 0.887
Tb 0.000 0.000 0.000

[4]
Density functional theory data (PBE) for La6Ir2CCl3 after structural relaxation.

formation energy from raw total energies: -14.142 eV per formula unit
V: 27.50 Å³/atom
E_tot: -6.349 eV/atom

Cell lengths 7.114, 7.114, 7.881 Å; angles 98.69, 98.69, 119.80 degrees
Element x y z (fractional)
Ir 0.333 0.667 0.000
La 0.378 0.064 0.198
Cl 0.500 0.500 0.500
La 0.064 0.378 0.198
La 0.936 0.622 0.802
La 0.622 0.936 0.802
La 0.749 0.749 0.198
La 0.251 0.251 0.802
C 0.000 0.000 0.000
Cl 0.838 0.162 0.500
Cl 0.162 0.838 0.500
Ir 0.667 0.333 0.000

[5]
Density functional theory data (PBE) for K3Tb2TlO6 after structural relaxation.

formation energy from raw total energies: -25.911 eV per formula unit
V: 16.63 Å³/atom
E_tot: -5.882 eV/atom

Cell lengths 6.054, 6.054, 6.601 Å; angles 98.77, 98.77, 119.99 degrees
Element x y z (fractional)
Tb 0.667 0.333 0.000
K 0.500 0.500 0.500
O 0.936 0.595 0.807
Tb 0.333 0.667 0.000
O 0.723 0.723 0.192
K 0.163 0.837 0.500
O 0.064 0.405 0.193
Tl 0.000 0.000 0.000
O 0.277 0.277 0.808
K 0.837 0.163 0.500
O 0.595 0.936 0.807
O 0.405 0.064 0.193

[6]
Density functional theory data (PBE) for KZnCd2 after structural relaxation.

V: 27.40 Å³/atom
energy of formation from the pure elements: 0.096 eV/atom
E_tot: -0.954 eV/atom

Cell lengths 5.410, 5.410, 5.410 Å; angles 124.59, 117.48, 88.33 degrees
Element x y z (fractional)
Cd 0.014 0.014 0.000
Cd 0.774 0.274 0.500
K 0.496 0.496 0.000
Zn 0.216 0.716 0.500

[7]
Density functional theory data (PBE) for MoWN2Cl after structural relaxation.

formation energy from raw total energies: 3.846 eV per formula unit
V: 17.23 Å³/atom
E_tot: -7.687 eV/atom

Cell lengths 3.884, 5.710, 3.884 Å; angles 90.00, 90.00, 90.00 degrees
Element x y z (fractional)
Mo 0.000 0.500 0.000
N 0.500 0.000 0.000
Cl 0.500 0.500 0.500
N 0.000 0.000 0.500
W 0.000 0.000 0.000

[8]
Density functional theory data (PBE) for Sc2SnPd7 after structural relaxation.

V: 20.78 Å³/atom
energy of formation from the pure elements: -0.187 eV/atom
E_tot: -5.488 eV/atom

Cell lengths 4.010, 7.977, 7.977 Å; angles 125.47, 90.00, 90.00 degrees
Element x y z (fractional)
Pd 0.000 0.197 0.803
Sn 0.000 0.000 0.000
Pd 0.500 0.915 0.711
Pd 0.500 0.711 0.915
Pd 0.500 0.085 0.289
Sc 0.500 0.311 0.689
Pd 0.000 0.803 0.197
Pd 0.500 0.500 0.500
Pd 0.500 0.289 0.085
Sc 0.500 0.689 0.311